A plane-wave DFT calculation with PBE-GGA was carried out for an optimized crystal structure of Rb3NpPd2Se6.

Calculated values
uncorrected energy = -56.13 eV/cell
energy relative to the elements, uncorrected = -0.750 eV per atom
DOS(E_F) = 1.271 states/eV/atom
crystal system = monoclinic

Lattice parameters (Å, degrees): 6.911 6.911 8.335 97.99 97.99 119.94
Fractional coordinates of all 12 atoms:
Np (0.000, 0.000, 0.000)
Rb (0.164, 0.836, 0.500)
Se (0.060, 0.409, 0.182)
Se (0.591, 0.940, 0.818)
Pd (0.333, 0.667, 0.000)
Rb (0.500, 0.500, 0.500)
Se (0.409, 0.060, 0.182)
Rb (0.836, 0.164, 0.500)
Se (0.711, 0.711, 0.181)
Se (0.289, 0.289, 0.819)
Se (0.940, 0.591, 0.818)
Pd (0.667, 0.333, 0.000)